Entry 1:
Crystalline ZrOsW2 at its relaxed geometry. Source: the Alexandria database, functional PBE-GGA.

Cell lengths 2.8296, 2.8296, 29.6002 Å; angles 90.00, 90.00, 120.00 degrees
Space group R-3m (No. 166, hexagonal axes)
Symmetry-distinct sites (fractional):
1 Zr 0.0000 0.0000 0.0000 [3 per cell]
2 Os 0.0000 0.0000 0.5000 [3 per cell]
3 W 0.0000 0.0000 0.2422 [6 per cell]

Properties
The value obtained for the excess energy over the best structure of this formula in the dataset is 1.558 eV per formula unit. For the formation energy, the calculation gives 326 meV per atom. Its crystal system is trigonal. The calculated volume comes out at 205.25 Å³ per cell. The energy comes out at -0.4078 hartree per atom.


Entry 2:
Crystalline ZrOsW2 at its relaxed geometry. Source: the Alexandria database, functional PBE-GGA.

Cell lengths 7.503, 7.503, 5.358 Å; angles 90.00, 90.00, 90.00 degrees
Space group I-42d (No. 122)
Symmetry-distinct sites (fractional):
1 Zr 0.000 0.000 0.000 [4 per cell]
2 Os 0.000 0.000 0.500 [4 per cell]
3 W 0.212 0.250 0.625 [8 per cell]

Properties
The value obtained for the excess energy over the best structure of this formula in the dataset is 2.889 eV per formula unit. For the formation energy, the calculation gives 658 meV per atom. Its crystal system is tetragonal. The calculated volume comes out at 301.69 Å³ per cell. The energy comes out at -0.3955 hartree per atom.


Entry 3:
Crystalline ZrOs2W at its relaxed geometry. Source: the Alexandria database, functional PBE-GGA.

Cell lengths 9.804, 2.887, 4.785 Å; angles 90.00, 100.97, 90.00 degrees
Space group Cm (No. 8)
Symmetry-distinct sites (fractional):
1 Zr 0.000 0.000 0.000 [2 per cell]
2 Os 0.020 0.500 0.505 [2 per cell]
3 Os 0.238 0.000 0.786 [2 per cell]
4 W 0.279 0.500 0.325 [2 per cell]

Properties
For the formation energy, the calculation gives 53 meV per atom. Its crystal system is monoclinic. The calculated volume comes out at 132.98 Å³ per cell. The energy comes out at -0.4019 hartree per atom.


Entry 4:
Crystalline Y2Os at its relaxed geometry. Source: the Alexandria database, functional PBE-GGA.

Cell lengths 8.180, 8.180, 8.180 Å; angles 90.00, 90.00, 90.00 degrees
Space group Fd-3m (No. 227, origin choice 2)
Symmetry-distinct sites (fractional):
1 Y 0.000 0.000 0.000 [16 per cell]
2 Os 0.125 0.125 0.625 [8 per cell]

Properties
For the formation energy, the calculation gives 1167 meV per atom. Its crystal system is cubic. The calculated volume comes out at 547.32 Å³ per cell. The energy comes out at -0.2531 hartree per atom.


Entry 5:
Crystalline Y2Os at its relaxed geometry. Source: the Alexandria database, functional PBE-GGA.

Cell lengths 7.6617, 7.6617, 4.2518 Å; angles 90.00, 90.00, 120.00 degrees
Space group P-62m (No. 189)
Symmetry-distinct sites (fractional):
1 Y 0.0000 0.2570 0.0000 [3 per cell]
2 Y 0.0000 0.5896 0.5000 [3 per cell]
3 Os 0.0000 0.0000 0.5000 [1 per cell]
4 Os 0.3333 0.6667 0.0000 [2 per cell]

Properties
For the formation energy, the calculation gives -190 meV per atom. Its crystal system is hexagonal. The calculated volume comes out at 216.15 Å³ per cell. The energy comes out at -0.3029 hartree per atom.


Entry 6:
Crystalline YOs3 at its relaxed geometry. Source: the Alexandria database, functional PBE-GGA.

Cell lengths 2.901, 2.901, 8.067 Å; angles 90.00, 90.00, 90.00 degrees
Space group P4/mmm (No. 123)
Symmetry-distinct sites (fractional):
1 Y 0.000 0.000 0.000 [1 per cell]
2 Os 0.000 0.000 0.500 [1 per cell]
3 Os 0.500 0.500 0.286 [2 per cell]

Properties
For the formation energy, the calculation gives 242 meV per atom. Its crystal system is tetragonal. The calculated volume comes out at 67.88 Å³ per cell. The energy comes out at -0.3600 hartree per atom.